DFT (PBE) results for an optimized crystal structure of In2SnPd2.

Computed properties:
SG: Pmmn

Cell lengths 4.6069, 4.6282, 9.8281 Å; angles 89.99, 90.00, 90.00 degrees
With the nearest neighbours (Å) after each atom.
Fractional positions:
Pd (0.7500, 0.7503, 0.1664)  6 In 2.78-2.84, 2 Sn 2.79
Pd (0.7500, 0.7497, 0.5002)  4 Sn 2.86-2.87, 4 In 2.88-2.89
Pd (0.2500, 0.2503, 0.4998)  4 Sn 2.86-2.87, 4 In 2.88-2.89
Pd (0.2500, 0.2497, 0.8336)  6 In 2.78-2.84, 2 Sn 2.79
In (0.7500, 0.2502, 0.3240)  6 Pd 2.78-2.89
In (0.2500, 0.7498, 0.9976)  4 Pd 2.82-2.84
In (0.2500, 0.7498, 0.6760)  6 Pd 2.78-2.89
In (0.7500, 0.2502, 0.0024)  4 Pd 2.82-2.84
Sn (0.7500, 0.2495, 0.6731)  6 Pd 2.79-2.87
Sn (0.2500, 0.7505, 0.3269)  6 Pd 2.79-2.87

***

DFT (PBE) results for an optimized crystal structure of In2Sn2Pd.

Computed properties:
Excess energy over the best structure of this formula in the dataset (eV per atom): 0.1609
SG: P4/mbm

Cell lengths 7.1099, 7.1099, 4.9977 Å; angles 90.00, 90.00, 90.00 degrees
With the nearest neighbours (Å) after each atom.
Fractional positions:
Pd (0.0000, 0.0000, 0.0000)  4 In 2.70
Pd (0.5000, 0.5000, 0.0000)  4 In 2.70
Sn (0.8353, 0.3353, 0.5000)  6 In 3.11-3.36, 1 Sn 3.31
Sn (0.3353, 0.1647, 0.5000)  6 In 3.11-3.36, 1 Sn 3.31
Sn (0.6647, 0.8353, 0.5000)  6 In 3.11-3.36, 1 Sn 3.31
Sn (0.1647, 0.6647, 0.5000)  6 In 3.11-3.36, 1 Sn 3.31
In (0.1507, 0.3493, 0.0000)  2 Pd 2.70
In (0.8493, 0.6507, 0.0000)  2 Pd 2.70
In (0.3493, 0.8493, 0.0000)  2 Pd 2.70
In (0.6507, 0.1507, 0.0000)  2 Pd 2.70

***

DFT (PBE) results for an optimized crystal structure of In2Sn2Pd.

Computed properties:
Excess energy over the best structure of this formula in the dataset (eV per atom): 0.0000
SG: I4_1/amd

Cell lengths 4.7279, 4.7279, 11.7191 Å; angles 101.64, 101.64, 90.00 degrees
With the nearest neighbours (Å) after each atom.
Fractional positions:
In (0.9337, 0.4337, 0.8675)  2 Pd 2.79
In (0.5663, 0.0663, 0.1325)  2 Pd 2.79
In (0.6837, 0.6837, 0.3675)  2 Pd 2.79
In (0.3163, 0.3163, 0.6325)  2 Pd 2.79
Sn (0.0778, 0.5778, 0.1557)  2 Pd 2.94, 2 Sn 3.17, 1 In 3.24
Sn (0.4222, 0.9222, 0.8443)  2 Pd 2.94, 2 Sn 3.17, 1 In 3.24
Sn (0.8278, 0.8278, 0.6557)  2 Pd 2.94, 2 Sn 3.17, 1 In 3.24
Sn (0.1722, 0.1722, 0.3443)  2 Pd 2.94, 2 Sn 3.17, 1 In 3.24
Pd (0.7500, 0.2500, 0.5000)  4 In 2.79, 4 Sn 2.94
Pd (0.5000, 0.5000, 0.0000)  4 In 2.79, 4 Sn 2.94

***

Energy of formation from the pure elements for every record listed, in sequence, given in eV per atom: -0.42 -0.01 -0.17.